Entry 1:
Density functional theory data (PBE-GGA) for crystalline K3ThU3Se8 at its relaxed geometry.

abc: 8.4172 8.4172 23.5746
angles: 90.00 90.00 120.00
Space group R-3m (No. 166, hexagonal axes)
Unique sites:
K1 0.0000 0.5000 0.0000 x9
Th1 0.0000 0.0000 0.5000 x3
U1 0.0000 0.5000 0.5000 x9
Se1 0.0000 0.0000 0.2356 x6
Se2 0.0034 0.5017 0.7644 x18

Calculated values
Formation energy without anion corrections (eV per atom): -1.33
Total energy (eV per atom): -6.16



Entry 2:
Density functional theory data (PBE-GGA) for crystalline K4ThU3Se8 at its relaxed geometry.

abc: 8.4383 8.4383 23.4351
angles: 90.00 90.00 120.00
Space group R-3m (No. 166, hexagonal axes)
Unique sites:
K1 0.0000 0.0000 0.0000 x3
K2 0.0000 0.5000 0.0000 x9
Th1 0.0000 0.0000 0.5000 x3
U1 0.0000 0.5000 0.5000 x9
Se1 0.0000 0.0000 0.2362 x6
Se2 0.0015 0.5008 0.7624 x18

Calculated values
Formation energy without anion corrections (eV per atom): -1.31
Total energy (eV per atom): -5.91



Entry 3:
Density functional theory data (PBE-GGA) for crystalline K3Th3USe8 at its relaxed geometry.

abc: 8.4604 8.4604 23.7826
angles: 90.00 90.00 120.00
Space group R-3m (No. 166, hexagonal axes)
Unique sites:
K1 0.0000 0.5000 0.0000 x9
Th1 0.0000 0.5000 0.5000 x9
U1 0.0000 0.0000 0.5000 x3
Se1 0.0000 0.0000 0.2389 x6
Se2 0.0016 0.5008 0.2361 x18

Calculated values
Formation energy without anion corrections (eV per atom): -1.50
Total energy (eV per atom): -5.81



Entry 4:
Density functional theory data (PBE-GGA) for crystalline K2ThUSe4 at its relaxed geometry.

abc: 7.338 4.233 8.198
angles: 90.00 107.33 90.00
Space group P2/m (No. 10)
Unique sites:
K1 0.000 0.000 0.000 x1
K2 0.500 0.500 0.000 x1
Th1 0.000 0.500 0.500 x1
U1 0.500 0.000 0.500 x1
Se1 0.240 0.000 0.715 x2
Se2 0.264 0.500 0.288 x2

Calculated values
Formation energy without anion corrections (eV per atom): -1.39
Total energy (eV per atom): -5.74



Entry 5:
Density functional theory data (PBE-GGA) for crystalline K3ThU2Se6 at its relaxed geometry.

abc: 7.321 12.683 8.184
angles: 90.00 107.33 90.00
Space group C2/m (No. 12)
Unique sites:
K1 0.000 0.000 0.000 x2
K2 0.000 0.334 0.000 x4
Th1 0.000 0.500 0.500 x2
U1 0.000 0.167 0.500 x4
Se1 0.235 0.000 0.712 x4
Se2 0.239 0.332 0.712 x8

Calculated values
Formation energy without anion corrections (eV per atom): -1.34
Total energy (eV per atom): -5.86



Entry 6:
Density functional theory data (PBE-GGA) for crystalline K3Th3VSe8 at its relaxed geometry.

abc: 8.3227 8.3227 23.8697
angles: 90.00 90.00 120.00
Space group R-3m (No. 166, hexagonal axes)
Unique sites:
K1 0.0000 0.5000 0.0000 x9
Th1 0.0000 0.5000 0.5000 x9
V1 0.0000 0.0000 0.5000 x3
Se1 0.0000 0.0000 0.2401 x6
Se2 0.0202 0.5101 0.2323 x18

Calculated values
Formation energy without anion corrections (eV per atom): -1.44
Total energy (eV per atom): -5.61